Entry 1:
The following is a PBEsol calculation of InPOs2 after structural relaxation, from Alexandria via LeMat-Bulk.

Values from the calculation:
Energy relative to the lowest polymorph listed for this composition   242 meV/atom
Crystal system   orthorhombic
Calculated total energy   -63.55 eV per cell

a = 2.8684 Å, b = 4.9186 Å, c = 8.5923 Å
α = 90.00°, β = 90.00°, γ = 90.00°
Closest atoms and distances in Å follow each position.
Space group Immm (No. 71)
Symmetry-distinct sites (fractional):
1 In 0.0000 0.0000 0.0000 [2 per cell]  4 P 2.85, 8 Os 2.85-3.07, 2 In 2.87
2 P 0.0000 0.0000 0.5000 [2 per cell]  4 Os 2.33
3 Os 0.0000 0.5000 0.2137 [4 per cell]  2 P 2.33



Entry 2:
The following is a PBEsol calculation of InPOs2 after structural relaxation, from Alexandria via LeMat-Bulk.

Values from the calculation:
Energy relative to the lowest polymorph listed for this composition   632 meV/atom
Crystal system   tetragonal
Calculated total energy   -60.42 eV per cell

a = 3.9775 Å, b = 3.9775 Å, c = 7.6801 Å
α = 90.00°, β = 90.00°, γ = 90.00°
Closest atoms and distances in Å follow each position.
Space group I-4m2 (No. 119)
Symmetry-distinct sites (fractional):
1 In 0.0000 0.0000 0.0000 [2 per cell]  8 Os 2.76-2.81, 4 P 2.76
2 P 0.0000 0.5000 0.7500 [2 per cell]  4 In 2.76, 8 Os 2.76-2.81
3 Os 0.0000 0.0000 0.5000 [2 per cell]  4 Os 2.76, 4 P 2.76, 4 In 2.81
4 Os 0.0000 0.5000 0.2500 [2 per cell]  4 In 2.76, 4 Os 2.76, 4 P 2.81



Entry 3:
The following is a PBEsol calculation of InPOs2Pt after structural relaxation, from Alexandria via LeMat-Bulk.

Values from the calculation:
Crystal system   tetragonal
Calculated total energy   -34.98 eV per cell

a = 4.2851 Å, b = 4.2851 Å, c = 4.7631 Å
α = 90.00°, β = 90.00°, γ = 90.00°
Closest atoms and distances in Å follow each position.
Space group P4/mmm (No. 123)
Symmetry-distinct sites (fractional):
1 In 0.0000 0.0000 0.0000 [1 per cell]  2 P 2.38
2 P 0.0000 0.0000 0.5000 [1 per cell]  4 Os 2.14, 2 In 2.38
3 Os 0.0000 0.5000 0.5000 [2 per cell]  2 P 2.14
4 Pt 0.5000 0.5000 0.0000 [1 per cell]  4 In 3.03, 8 Os 3.20



Entry 4:
The following is a PBEsol calculation of In3OsPb after structural relaxation, from Alexandria via LeMat-Bulk.

Values from the calculation:
Crystal system   cubic
Calculated total energy   -15.69 eV per cell

a = 5.4924 Å, b = 5.4924 Å, c = 5.4924 Å
α = 90.00°, β = 90.00°, γ = 90.00°
Closest atoms and distances in Å follow each position.
Space group Pm-3m (No. 221)
Symmetry-distinct sites (fractional):
1 In 0.0000 0.0000 0.5000 [3 per cell]  2 Pb 2.75
2 Os 0.5000 0.5000 0.5000 [1 per cell]  12 In 3.88
3 Pb 0.0000 0.0000 0.0000 [1 per cell]  6 In 2.75



> Which of these has the lowest calculated total energy?

number 1



> What is the calculated total energy in the fourth record?

-15.69 eV per cell



Please write out number 4 again, unchanged.
The following is a PBEsol calculation of In3OsPb after structural relaxation, from Alexandria via LeMat-Bulk.

Values from the calculation:
Crystal system   cubic
Calculated total energy   -15.69 eV per cell

a = 5.4924 Å, b = 5.4924 Å, c = 5.4924 Å
α = 90.00°, β = 90.00°, γ = 90.00°
Closest atoms and distances in Å follow each position.
Space group Pm-3m (No. 221)
Symmetry-distinct sites (fractional):
1 In 0.0000 0.0000 0.5000 [3 per cell]  2 Pb 2.75
2 Os 0.5000 0.5000 0.5000 [1 per cell]  12 In 3.88
3 Pb 0.0000 0.0000 0.0000 [1 per cell]  6 In 2.75